The following is a DFT calculation (GGA-PBE) of Ta2Au after structural relaxation.

Geometry as POSCAR:
```
Ta2Au
1.0
10.110 0.000 0.000
0.000 10.110 0.000
0.000 0.000 5.250
Ta Au
20 10
direct
0.036 0.371 0.000
0.104 0.104 0.000
0.129 0.536 0.500
0.183 0.817 0.250
0.183 0.817 0.750
0.317 0.317 0.250
0.317 0.317 0.750
0.371 0.036 0.000
0.396 0.604 0.500
0.464 0.871 0.500
0.536 0.129 0.500
0.604 0.396 0.500
0.629 0.964 0.000
0.683 0.683 0.250
0.683 0.683 0.750
0.817 0.183 0.250
0.817 0.183 0.750
0.871 0.464 0.500
0.896 0.896 0.000
0.964 0.629 0.000
0.000 0.000 0.500
0.064 0.267 0.500
0.233 0.564 0.000
0.267 0.064 0.500
0.436 0.767 0.000
0.500 0.500 0.000
0.564 0.233 0.000
0.733 0.936 0.500
0.767 0.436 0.000
0.936 0.733 0.500
```

VASP energy	-9.034	eV/atom
ΔH_f (0 K)	-0.12	eV/f.u.